Version 1
## Cd3SiAg (PBE)

Data for an optimized crystal structure of Cd3SiAg.

The density is 5.65 g/cm3.

The structure belongs to space group Pm-3m (No. 221); the cell edges are 5.1820, 5.1820 and 5.1820 Å and the angles 90.00°, 90.00° and 90.00°. Symmetry generates all atoms from Cd at (0.0000, 0.0000, 0.5000), Si at (0.5000, 0.5000, 0.5000) and Ag at (0.0000, 0.0000, 0.0000).



Version 2
## Cd3SiAg (PBE)

Data for an optimized crystal structure of Cd3SiAg.

The density is 5.82 g/cm3.

The structure belongs to space group Pm-3m (No. 221); the cell edges are 5.1303, 5.1303 and 5.1303 Å and the angles 90.00°, 90.00° and 90.00°. Symmetry generates all atoms from Cd at (0.0000, 0.0000, 0.5000), Si at (0.0000, 0.0000, 0.0000) and Ag at (0.5000, 0.5000, 0.5000).



Least stable of them? version 1.



Version 1
## SmCdAg2 (PBE)

Data for an optimized crystal structure of SmCdAg2.

The density is 8.93 g/cm3.

The structure belongs to space group Fm-3m (No. 225); the cell edges are 7.0879, 7.0879 and 7.0879 Å and the angles 90.00°, 90.00° and 90.00°. Symmetry generates all atoms from Sm at (0.0000, 0.0000, 0.0000), Cd at (0.0000, 0.0000, 0.5000) and Ag at (0.2500, 0.2500, 0.2500).



Version 2
## SmCdAg2 (PBE)

Data for an optimized crystal structure of SmCdAg2.

The density is 8.65 g/cm3.

The structure belongs to space group P4/mmm (No. 123); the cell edges are 5.0292, 5.0292 and 3.6324 Å and the angles 90.00°, 90.00° and 90.00°. Symmetry generates all atoms from Sm at (0.0000, 0.0000, 0.0000), Cd at (0.5000, 0.5000, 0.0000) and Ag at (0.0000, 0.5000, 0.5000).



Least stable of them? version 2.



Version 1
## SmCd2Ag2 (PBE)

Data for an optimized crystal structure of SmCd2Ag2.

The density is 8.83 g/cm3.

The structure belongs to space group P-1 (No. 2); the cell edges are 5.0219, 5.0835 and 5.5414 Å and the angles 87.89°, 67.00° and 60.44°. Symmetry generates all atoms from Sm at (0.0000, 0.0000, 0.0000), Cd at (0.4693, 0.7586, 0.3467) and Ag at (0.2113, 0.3824, 0.2343).



Version 2
## SmCd2Ag2 (PBE)

Data for an optimized crystal structure of SmCd2Ag2.

The density is 8.71 g/cm3.

The structure belongs to space group P-1 (No. 2); the cell edges are 4.9490, 5.8056 and 8.7984 Å and the angles 78.88°, 74.18° and 68.70°. Symmetry generates all atoms from Sm at (0.2082, 0.3263, 0.2915), Cd at (0.1161, 0.0853, 0.6938), Cd at (0.4417, 0.2355, 0.8770), Ag at (0.1505, 0.7302, 0.9656) and Ag at (0.3759, 0.7513, 0.4600).



Least stable of them? version 2.